[1]
Below is a geometry-optimized NdEr4Tm6 structure, with properties calculated at the PBE level.

The structure in POSCAR format:
```
NdEr4Tm6
1.0
-3.818 3.818 6.396
3.818 -3.818 6.396
3.818 3.818 -6.396
Nd Er Tm
1 4 6
Direct
0.000 0.000 0.000
0.260 0.260 0.671
0.411 0.740 0.000
0.589 0.589 0.329
0.740 0.411 0.000
0.000 0.500 0.500
0.067 0.563 0.000
0.437 0.437 0.503
0.500 0.000 0.500
0.563 0.067 0.000
0.933 0.933 0.497
```

Calculated values
Energy relative to the elements (eV per atom): 0.466
Fermi-level density of states (states/eV/cell): 17.910
Symmetry: No. 121


[2]
Below is a geometry-optimized Sr2Ga3PbAu4 structure, with properties calculated at the PBE level.

The structure in POSCAR format:
```
Sr2Ga3PbAu4
1.0
4.603 0.000 0.000
0.000 4.603 0.000
0.000 0.000 11.128
Sr Ga Pb Au
2 3 1 4
Direct
0.000 0.500 0.237
0.500 0.000 0.763
0.000 0.500 0.885
0.500 0.000 0.115
0.500 0.500 0.500
0.000 0.000 0.500
0.000 0.000 0.000
0.000 0.500 0.655
0.500 0.000 0.345
0.500 0.500 0.000
```

Calculated values
Energy relative to the elements (eV per atom): -0.536
Fermi-level density of states (states/eV/cell): 3.996
Symmetry: No. 115


[3]
Below is a geometry-optimized LiTh2PaP4 structure, with properties calculated at the PBE level.

The structure in POSCAR format:
```
LiTh2PaP4
1.0
6.964 0.000 0.000
0.000 4.104 0.000
-2.350 0.000 6.577
Li Th Pa P
1 2 1 4
Direct
0.000 0.000 0.000
0.000 0.500 0.500
0.500 0.000 0.500
0.500 0.500 0.000
0.253 0.500 0.240
0.255 0.000 0.765
0.745 0.000 0.235
0.747 0.500 0.760
```

Calculated values
Energy relative to the elements (eV per atom): -1.185
Fermi-level density of states (states/eV/cell): 3.543
Symmetry: No. 10


[4]
Below is a geometry-optimized BaCd2W structure, with properties calculated at the PBE level.

The structure in POSCAR format:
```
BaCd2W
1.0
3.056 0.000 0.000
0.000 5.719 0.000
0.000 0.000 11.399
Ba Cd W
2 4 2
Direct
0.000 0.000 0.000
0.500 0.500 0.500
0.000 0.000 0.531
0.000 0.500 0.785
0.500 0.000 0.285
0.500 0.500 0.031
0.000 0.500 0.243
0.500 0.000 0.743
```

Calculated values
Energy relative to the elements (eV per atom): 0.852
Fermi-level density of states (states/eV/cell): 7.501
Symmetry: No. 44